[1]
K3InRe2O9: optimized geometry, GGA-PBE.

POSCAR file:
```
K3InRe2O9
1.0
-3.7523 3.9623 1.6161
1.9324 -3.7967 3.7738
5.2837 4.3302 1.6510
O K In Re
9 3 1 2
Direct
0.8247 0.1753 0.6860
0.3507 0.1753 0.6860
0.5000 0.0000 0.0000
0.8247 0.6493 0.6860
0.5000 0.5000 0.0000
0.1753 0.8247 0.3140
0.0000 0.5000 0.0000
0.6493 0.8247 0.3140
0.1753 0.3507 0.3140
0.3333 0.6667 0.6627
0.6667 0.3333 0.3373
0.0000 0.0000 0.0000
0.0000 0.0000 0.5000
0.3333 0.6667 0.1617
0.6667 0.3333 0.8383
```

## Properties
* magnetic moment: 0.000 μB/atom
* calculated volume: 197.15 Å³ per cell
* raw formation energy: -1.66 eV per atom
* uncorrected energy: -6.695 eV per atom


[2]
KIn2RhO: optimized geometry, GGA-PBE.

POSCAR file:
```
KIn2RhO
1.0
-2.4969 2.0380 3.9146
-5.4295 -1.8507 -2.4996
0.3437 -4.3942 2.5069
O In K Rh
1 2 1 1
Direct
0.5000 0.5000 0.5000
0.0000 0.0000 0.5000
0.5000 0.0000 0.0000
0.0000 0.5000 0.0000
0.0000 0.0000 0.0000
```

## Properties
* magnetic moment: 0.182 μB/atom
* calculated volume: 160.88 Å³ per cell
* raw formation energy: 0.18 eV per atom
* uncorrected energy: -3.595 eV per atom


[3]
K3In3RhO8: optimized geometry, GGA-PBE.

POSCAR file:
```
K3In3RhO8
1.0
-6.3282 -1.4994 -1.0226
3.2355 -2.6652 5.0763
-1.7609 7.0523 0.5555
K In Rh O
3 3 1 8
Direct
0.0000 0.5000 0.0000
0.0000 0.0000 0.0000
0.5000 0.5000 0.0000
0.5000 0.5000 0.5000
0.5000 0.0000 0.5000
0.0000 0.5000 0.5000
0.0000 0.0000 0.5000
0.2518 0.0393 0.3269
0.7278 0.4556 0.6833
0.2124 0.9607 0.6731
0.7876 0.0393 0.3269
0.2722 0.5444 0.3167
0.7875 0.5750 0.3269
0.2125 0.4250 0.6731
0.7482 0.9607 0.6731
```

## Properties
* magnetic moment: 0.070 μB/atom
* calculated volume: 233.48 Å³ per cell
* raw formation energy: -1.41 eV per atom
* uncorrected energy: -5.316 eV per atom


[4]
K2In2RhO6: optimized geometry, GGA-PBE.

POSCAR file:
```
K2In2RhO6
1.0
5.6192 0.0162 0.0687
-2.7633 4.8929 0.0687
-1.0008 -1.7202 6.1910
O In K Rh
6 2 2 1
Direct
0.7491 0.7491 0.6738
0.6335 0.9457 0.3269
0.0543 0.3665 0.6731
0.3665 0.0543 0.6731
0.9457 0.6335 0.3269
0.2509 0.2509 0.3262
0.6646 0.3354 0.5000
0.3354 0.6646 0.5000
0.1665 0.8335 0.0000
0.8335 0.1665 0.0000
0.0000 0.0000 0.5000
```

## Properties
* magnetic moment: 0.095 μB/atom
* calculated volume: 171.82 Å³ per cell
* raw formation energy: -1.36 eV per atom
* uncorrected energy: -5.426 eV per atom